Below is BeF2 at its PBEsol-relaxed geometry, with properties calculated at the meta-GGA SCAN level.

Cell lengths 4.8805, 4.8805, 5.3482 Å; angles 90.00, 90.00, 120.00 degrees
Closest atoms and distances in Å follow each position.
Atoms (fractional coordinates):
Be1 0.0000 0.5000 0.1667  4 F 1.55
Be2 0.5000 0.0000 0.5000  4 F 1.55
Be3 0.5000 0.5000 0.8333  4 F 1.55
F1 0.2092 0.4184 0.0000  2 Be 1.55
F2 0.2092 0.7908 0.3333  2 Be 1.55
F3 0.4184 0.2092 0.6667  2 Be 1.55
F4 0.5816 0.7908 0.6667  2 Be 1.55
F5 0.7908 0.2092 0.3333  2 Be 1.55
F6 0.7908 0.5816 0.0000  2 Be 1.55

## Properties
symmetry	No. 180
formation energy from raw total energies	-3453	meV per atom
energy above the most stable polymorph in this dataset	0.0098	eV per atom
Fermi-level density of states	0.000	states/eV per atom

Below is ReHg3Cl at its PBEsol-relaxed geometry, with properties calculated at the meta-GGA SCAN level.

Cell lengths 5.3038, 5.3038, 5.3038 Å; angles 90.00, 90.00, 90.00 degrees
Closest atoms and distances in Å follow each position.
Atoms (fractional coordinates):
Re1 0.0000 0.0000 0.0000  12 Hg 3.75
Hg1 0.0000 0.5000 0.5000  2 Cl 2.65
Hg2 0.5000 0.0000 0.5000  2 Cl 2.65
Hg3 0.5000 0.5000 0.0000  2 Cl 2.65
Cl1 0.5000 0.5000 0.5000  6 Hg 2.65

## Properties
symmetry	No. 221
formation energy from raw total energies	1678	meV per atom
Fermi-level density of states	0.784	states/eV per atom

Below is SnBiN3 at its PBEsol-relaxed geometry, with properties calculated at the meta-GGA SCAN level.

Cell lengths 4.1256, 4.1256, 4.1256 Å; angles 90.00, 90.00, 90.00 degrees
Closest atoms and distances in Å follow each position.
Atoms (fractional coordinates):
Sn1 0.0000 0.0000 0.0000  6 N 2.06
Bi1 0.5000 0.5000 0.5000  12 N 2.92
N1 0.0000 0.0000 0.5000  2 Sn 2.06
N2 0.0000 0.5000 0.0000  2 Sn 2.06
N3 0.5000 0.0000 0.0000  2 Sn 2.06

## Properties
symmetry	No. 221
formation energy from raw total energies	1345	meV per atom
Fermi-level density of states	0.556	states/eV per atom

Below is SrCa2 at its PBEsol-relaxed geometry, with properties calculated at the meta-GGA SCAN level.

Cell lengths 14.7664, 3.9615, 9.4569 Å; angles 90.00, 106.00, 90.00 degrees
Closest atoms and distances in Å follow each position.
Atoms (fractional coordinates):
Sr1 0.0000 0.0000 0.0000  8 Ca 3.92-4.04, 4 Sr 3.96-4.04
Sr2 0.1702 0.5000 0.3436  8 Ca 3.91-4.08, 4 Sr 3.96-4.04
Sr3 0.5000 0.5000 0.0000  8 Ca 3.92-4.04, 4 Sr 3.96-4.04
Sr4 0.6702 0.0000 0.3436  8 Ca 3.91-4.08, 4 Sr 3.96-4.04
Ca1 0.0539 0.0000 0.6169  3 Sr 3.92-4.00, 9 Ca 3.93-4.03
Ca2 0.2257 0.5000 0.9437  8 Ca 3.93-3.99, 4 Sr 3.94-4.08
Ca3 0.3346 0.0000 0.6711  4 Sr 3.91-3.92, 8 Ca 3.93-4.03
Ca4 0.3905 0.0000 0.2847  7 Ca 3.93-3.99, 5 Sr 3.98-4.02
Ca5 0.5539 0.5000 0.6169  3 Sr 3.92-4.00, 9 Ca 3.93-4.03
Ca6 0.7257 0.0000 0.9437  8 Ca 3.93-3.99, 4 Sr 3.94-4.08
Ca7 0.8346 0.5000 0.6711  4 Sr 3.91-3.92, 8 Ca 3.93-4.03
Ca8 0.8905 0.5000 0.2847  7 Ca 3.93-3.99, 5 Sr 3.98-4.02

## Properties
calculated formation energy	0.02	eV/atom
symmetry	No. 8
energy above the most stable polymorph in this dataset	0.0074	eV per atom
Fermi-level density of states	1.011	states/eV per atom

Below is InNi6Ru at its PBEsol-relaxed geometry, with properties calculated at the meta-GGA SCAN level.

Cell lengths 6.2566, 6.2566, 10.2268 Å; angles 90.00, 90.00, 109.49 degrees
Closest atoms and distances in Å follow each position.
Atoms (fractional coordinates):
In1 0.0000 0.0000 0.2479  12 Ni 2.54-2.62
In2 0.0000 0.0000 0.7521  12 Ni 2.54-2.62
In3 0.2463 0.7537 0.5000  12 Ni 2.52-2.64
In4 0.7537 0.2463 0.5000  12 Ni 2.52-2.64
Ni1 0.0000 0.0000 0.0000  2 Ru 2.51, 2 In 2.54, 8 Ni 2.58
Ni2 0.0000 0.0000 0.5000  4 In 2.52-2.58, 8 Ni 2.61
Ni3 0.1293 0.3849 0.1207  8 Ni 2.46-2.61, 3 Ru 2.50-2.55, 1 In 2.62
Ni4 0.1293 0.3849 0.8793  8 Ni 2.46-2.61, 3 Ru 2.50-2.55, 1 In 2.62
Ni5 0.1357 0.3808 0.3699  1 Ru 2.48, 8 Ni 2.50-2.66, 3 In 2.57-2.62
Ni6 0.1357 0.3808 0.6301  1 Ru 2.48, 8 Ni 2.50-2.66, 3 In 2.57-2.62
Ni7 0.2553 0.7447 0.2418  8 Ni 2.46-2.65, 2 Ru 2.48-2.50, 2 In 2.61-2.64
Ni8 0.2553 0.7447 0.7582  8 Ni 2.46-2.65, 2 Ru 2.48-2.50, 2 In 2.61-2.64
Ni9 0.3808 0.1357 0.3699  1 Ru 2.48, 8 Ni 2.50-2.66, 3 In 2.57-2.62
Ni10 0.3808 0.1357 0.6301  1 Ru 2.48, 8 Ni 2.50-2.66, 3 In 2.57-2.62
Ni11 0.3849 0.1293 0.1207  8 Ni 2.46-2.61, 3 Ru 2.50-2.55, 1 In 2.62
Ni12 0.3849 0.1293 0.8793  8 Ni 2.46-2.61, 3 Ru 2.50-2.55, 1 In 2.62
Ni13 0.5000 0.5000 0.0000  8 Ni 2.51, 4 Ru 2.55-2.59
Ni14 0.5000 0.5000 0.5000  8 Ni 2.53, 2 Ru 2.57, 2 In 2.59
Ni15 0.6151 0.8707 0.1207  8 Ni 2.46-2.61, 3 Ru 2.50-2.55, 1 In 2.62
Ni16 0.6151 0.8707 0.8793  8 Ni 2.46-2.61, 3 Ru 2.50-2.55, 1 In 2.62
Ni17 0.6192 0.8643 0.3699  1 Ru 2.48, 8 Ni 2.50-2.66, 3 In 2.57-2.62
Ni18 0.6192 0.8643 0.6301  1 Ru 2.48, 8 Ni 2.50-2.66, 3 In 2.57-2.62
Ni19 0.7447 0.2553 0.2418  8 Ni 2.46-2.65, 2 Ru 2.48-2.50, 2 In 2.61-2.64
Ni20 0.7447 0.2553 0.7582  8 Ni 2.46-2.65, 2 Ru 2.48-2.50, 2 In 2.61-2.64
Ni21 0.8643 0.6192 0.3699  1 Ru 2.48, 8 Ni 2.50-2.66, 3 In 2.57-2.62
Ni22 0.8643 0.6192 0.6301  1 Ru 2.48, 8 Ni 2.50-2.66, 3 In 2.57-2.62
Ni23 0.8707 0.6151 0.1207  8 Ni 2.46-2.61, 3 Ru 2.50-2.55, 1 In 2.62
Ni24 0.8707 0.6151 0.8793  8 Ni 2.46-2.61, 3 Ru 2.50-2.55, 1 In 2.62
Ru1 0.2461 0.7539 0.0000  12 Ni 2.48-2.59
Ru2 0.5000 0.5000 0.2489  12 Ni 2.48-2.57
Ru3 0.5000 0.5000 0.7511  12 Ni 2.48-2.57
Ru4 0.7539 0.2461 0.0000  12 Ni 2.48-2.59

## Properties
calculated formation energy	0.05	eV/atom
symmetry	No. 65
Fermi-level density of states	0.618	states/eV per atom

Below is SrBeCr2 at its PBEsol-relaxed geometry, with properties calculated at the meta-GGA SCAN level.

Cell lengths 4.3563, 4.3563, 3.9667 Å; angles 90.00, 90.00, 90.00 degrees
Closest atoms and distances in Å follow each position.
Atoms (fractional coordinates):
Sr1 0.0000 0.0000 0.0000  8 Cr 2.95, 4 Be 3.08
Be1 0.5000 0.5000 0.0000  8 Cr 2.95, 4 Sr 3.08
Cr1 0.0000 0.5000 0.5000  4 Be 2.95, 4 Sr 2.95, 4 Cr 3.08
Cr2 0.5000 0.0000 0.5000  4 Be 2.95, 4 Sr 2.95, 4 Cr 3.08

## Properties
calculated formation energy	0.87	eV/atom
symmetry	No. 123
Fermi-level density of states	0.547	states/eV per atom